No. 1
# Sr2ThNbN4, relaxed, DFT PBE
# V   15.834 Å³/atom
# Fermi-level density of states   2.3 states/eV/cell
# Calculated density   7.3 Mg/m³
# Energy   -7.830 eV per atom
data_Sr2ThNbN4
_chemical_formula_sum 'Sr2 Th1 Nb1 N4'
_symmetry_space_group_name_H-M 'P 1'
_symmetry_Int_Tables_number 1
_cell_length_a 3.501
_cell_length_b 6.073
_cell_length_c 6.276
_cell_angle_alpha 108.35
_cell_angle_beta 90.00
_cell_angle_gamma 90.00
loop_
_symmetry_equiv_pos_as_xyz
'x,y,z'
loop_
_atom_site_label
_atom_site_type_symbol
_atom_site_fract_x
_atom_site_fract_y
_atom_site_fract_z
N1 N 0.500 0.218 0.202
N2 N 0.000 0.767 0.200
N3 N 0.500 0.782 0.798
N4 N 0.000 0.233 0.800
Th1 Th 0.500 0.500 0.000
Sr1 Sr 0.500 0.000 0.500
Sr2 Sr 0.000 0.500 0.500
Nb1 Nb 0.000 0.000 0.000


No. 2
# Pu2VGe4Ir3, relaxed, DFT PBE
# V   18.382 Å³/atom
# Fermi-level density of states   27.1 states/eV/cell
# Formation enthalpy at 0 K   -0.48 eV/atom
# Calculated density   12.7 Mg/m³
data_Pu2VGe4Ir3
_chemical_formula_sum 'Pu2 V1 Ge4 Ir3'
_symmetry_space_group_name_H-M 'P 1'
_symmetry_Int_Tables_number 1
_cell_length_a 4.188
_cell_length_b 4.188
_cell_length_c 10.480
_cell_angle_alpha 90.00
_cell_angle_beta 90.00
_cell_angle_gamma 90.00
loop_
_symmetry_equiv_pos_as_xyz
'x,y,z'
loop_
_atom_site_label
_atom_site_type_symbol
_atom_site_fract_x
_atom_site_fract_y
_atom_site_fract_z
Ir1 Ir 0.000 0.000 0.500
Ir2 Ir 0.000 0.500 0.128
Ir3 Ir 0.500 0.000 0.872
V1 V 0.500 0.500 0.500
Ge1 Ge 0.000 0.500 0.363
Ge2 Ge 0.500 0.500 0.000
Ge3 Ge 0.500 0.000 0.637
Ge4 Ge 0.000 0.000 0.000
Pu1 Pu 0.500 0.000 0.250
Pu2 Pu 0.000 0.500 0.750


No. 3
# LaCdFe2Rh, relaxed, DFT PBE
# V   23.008 Å³/atom
# Fermi-level density of states   7.7 states/eV/cell
# Formation enthalpy at 0 K   0.85 eV/atom
# Calculated density   6.7 Mg/m³
data_LaCdFe2Rh
_chemical_formula_sum 'La1 Cd1 Fe2 Rh1'
_symmetry_space_group_name_H-M 'P 1'
_symmetry_Int_Tables_number 1
_cell_length_a 4.757
_cell_length_b 5.083
_cell_length_c 4.757
_cell_angle_alpha 90.00
_cell_angle_beta 90.00
_cell_angle_gamma 90.00
loop_
_symmetry_equiv_pos_as_xyz
'x,y,z'
loop_
_atom_site_label
_atom_site_type_symbol
_atom_site_fract_x
_atom_site_fract_y
_atom_site_fract_z
La1 La 0.500 0.500 0.500
Cd1 Cd 0.000 0.000 0.000
Rh1 Rh 0.000 0.500 0.000
Fe1 Fe 0.000 0.000 0.500
Fe2 Fe 0.500 0.000 0.000


No. 4
# AlFe4Ir, relaxed, DFT PBE
# V   12.462 Å³/atom
# Fermi-level density of states   6.6 states/eV/cell
# Formation enthalpy at 0 K   -0.08 eV/atom
# Calculated density   9.8 Mg/m³
data_AlFe4Ir
_chemical_formula_sum 'Al1 Fe4 Ir1'
_symmetry_space_group_name_H-M 'P 1'
_symmetry_Int_Tables_number 1
_cell_length_a 4.729
_cell_length_b 4.729
_cell_length_c 4.729
_cell_angle_alpha 60.00
_cell_angle_beta 60.00
_cell_angle_gamma 60.00
loop_
_symmetry_equiv_pos_as_xyz
'x,y,z'
loop_
_atom_site_label
_atom_site_type_symbol
_atom_site_fract_x
_atom_site_fract_y
_atom_site_fract_z
Fe1 Fe 0.875 0.375 0.375
Fe2 Fe 0.375 0.375 0.375
Fe3 Fe 0.375 0.875 0.375
Fe4 Fe 0.375 0.375 0.875
Al1 Al 0.000 0.000 0.000
Ir1 Ir 0.750 0.750 0.750


No. 5
# YAgSO, relaxed, DFT PBE
# V   17.791 Å³/atom
# Calculated density   5.7 Mg/m³
# Energy   -6.525 eV per atom
data_YAgSO
_chemical_formula_sum 'Y2 Ag2 S2 O2'
_symmetry_space_group_name_H-M 'P 1'
_symmetry_Int_Tables_number 1
_cell_length_a 3.940
_cell_length_b 3.940
_cell_length_c 10.826
_cell_angle_alpha 79.51
_cell_angle_beta 79.51
_cell_angle_gamma 60.00
loop_
_symmetry_equiv_pos_as_xyz
'x,y,z'
loop_
_atom_site_label
_atom_site_type_symbol
_atom_site_fract_x
_atom_site_fract_y
_atom_site_fract_z
O1 O 0.307 0.307 0.080
O2 O 0.693 0.693 0.920
Ag1 Ag 0.806 0.806 0.582
Ag2 Ag 0.194 0.194 0.418
Y1 Y 0.378 0.378 0.867
Y2 Y 0.622 0.622 0.133
S1 S 0.899 0.899 0.304
S2 S 0.101 0.101 0.696


No. 6
# AlFeIr2, relaxed, DFT PBE
# V   15.454 Å³/atom
# Fermi-level density of states   4.0 states/eV/cell
# Formation enthalpy at 0 K   0.19 eV/atom
# Calculated density   12.6 Mg/m³
data_AlFeIr2
_chemical_formula_sum 'Al1 Fe1 Ir2'
_symmetry_space_group_name_H-M 'P 1'
_symmetry_Int_Tables_number 1
_cell_length_a 5.975
_cell_length_b 5.975
_cell_length_c 5.975
_cell_angle_alpha 49.76
_cell_angle_beta 154.06
_cell_angle_gamma 138.31
loop_
_symmetry_equiv_pos_as_xyz
'x,y,z'
loop_
_atom_site_label
_atom_site_type_symbol
_atom_site_fract_x
_atom_site_fract_y
_atom_site_fract_z
Ir1 Ir 0.000 0.283 0.283
Ir2 Ir 0.000 0.717 0.717
Al1 Al 0.000 0.000 0.000
Fe1 Fe 0.000 0.500 0.500


No. 7
# ErAgAu2, relaxed, DFT PBE
# V   20.439 Å³/atom
# Fermi-level density of states   1.4 states/eV/cell
# Formation enthalpy at 0 K   -0.48 eV/atom
# Calculated density   13.6 Mg/m³
data_ErAgAu2
_chemical_formula_sum 'Er1 Ag1 Au2'
_symmetry_space_group_name_H-M 'P 1'
_symmetry_Int_Tables_number 1
_cell_length_a 3.964
_cell_length_b 4.541
_cell_length_c 4.541
_cell_angle_alpha 90.00
_cell_angle_beta 90.00
_cell_angle_gamma 90.00
loop_
_symmetry_equiv_pos_as_xyz
'x,y,z'
loop_
_atom_site_label
_atom_site_type_symbol
_atom_site_fract_x
_atom_site_fract_y
_atom_site_fract_z
Ag1 Ag 0.500 0.000 0.000
Au1 Au 0.000 0.000 0.500
Au2 Au 0.000 0.500 0.000
Er1 Er 0.500 0.500 0.500


No. 8
# Li2TlPS, relaxed, DFT PBE
# V   27.833 Å³/atom
# Fermi-level density of states   3.3 states/eV/cell
# Calculated density   3.4 Mg/m³
# Energy   -2.589 eV per atom
data_Li2TlPS
_chemical_formula_sum 'Li2 Tl1 P1 S1'
_symmetry_space_group_name_H-M 'P 1'
_symmetry_Int_Tables_number 1
_cell_length_a 5.408
_cell_length_b 4.758
_cell_length_c 5.408
_cell_angle_alpha 90.00
_cell_angle_beta 90.00
_cell_angle_gamma 90.00
loop_
_symmetry_equiv_pos_as_xyz
'x,y,z'
loop_
_atom_site_label
_atom_site_type_symbol
_atom_site_fract_x
_atom_site_fract_y
_atom_site_fract_z
Tl1 Tl 0.000 0.000 0.000
Li1 Li 0.500 0.000 0.000
Li2 Li 0.000 0.000 0.500
S1 S 0.500 0.500 0.500
P1 P 0.000 0.500 0.000


No. 9
# TlCuRh2, relaxed, DFT PBE
# V   15.915 Å³/atom
# Fermi-level density of states   2.9 states/eV/cell
# Formation enthalpy at 0 K   0.16 eV/atom
# Calculated density   12.4 Mg/m³
data_TlCuRh2
_chemical_formula_sum 'Tl1 Cu1 Rh2'
_symmetry_space_group_name_H-M 'P 1'
_symmetry_Int_Tables_number 1
_cell_length_a 4.677
_cell_length_b 4.677
_cell_length_c 4.963
_cell_angle_alpha 79.04
_cell_angle_beta 79.04
_cell_angle_gamma 36.77
loop_
_symmetry_equiv_pos_as_xyz
'x,y,z'
loop_
_atom_site_label
_atom_site_type_symbol
_atom_site_fract_x
_atom_site_fract_y
_atom_site_fract_z
Cu1 Cu 0.250 0.250 0.250
Rh1 Rh 0.505 0.505 0.476
Rh2 Rh 0.995 0.995 0.024
Tl1 Tl 0.750 0.750 0.750


No. 10
# Pr2BeI, relaxed, DFT PBE
# V   30.116 Å³/atom
# Fermi-level density of states   4.6 states/eV/cell
# Calculated density   5.8 Mg/m³
# Energy   -4.047 eV per atom
data_Pr2BeI
_chemical_formula_sum 'Pr2 Be1 I1'
_symmetry_space_group_name_H-M 'P 1'
_symmetry_Int_Tables_number 1
_cell_length_a 4.138
_cell_length_b 4.138
_cell_length_c 8.468
_cell_angle_alpha 75.86
_cell_angle_beta 75.86
_cell_angle_gamma 60.00
loop_
_symmetry_equiv_pos_as_xyz
'x,y,z'
loop_
_atom_site_label
_atom_site_type_symbol
_atom_site_fract_x
_atom_site_fract_y
_atom_site_fract_z
Pr1 Pr 0.735 0.735 0.794
Pr2 Pr 0.265 0.265 0.206
I1 I 0.500 0.500 0.500
Be1 Be 0.000 0.000 0.000


No. 11
# Mg2SiNi, relaxed, DFT PBE
# V   15.460 Å³/atom
# Fermi-level density of states   1.3 states/eV/cell
# Calculated density   3.6 Mg/m³
# Energy   -3.648 eV per atom
data_Mg2SiNi
_chemical_formula_sum 'Mg2 Si1 Ni1'
_symmetry_space_group_name_H-M 'P 1'
_symmetry_Int_Tables_number 1
_cell_length_a 3.815
_cell_length_b 2.907
_cell_length_c 6.280
_cell_angle_alpha 62.60
_cell_angle_beta 90.00
_cell_angle_gamma 90.00
loop_
_symmetry_equiv_pos_as_xyz
'x,y,z'
loop_
_atom_site_label
_atom_site_type_symbol
_atom_site_fract_x
_atom_site_fract_y
_atom_site_fract_z
Ni1 Ni 0.500 0.250 0.250
Si1 Si 0.500 0.750 0.750
Mg1 Mg 0.000 0.511 0.490
Mg2 Mg 0.000 0.989 0.010


No. 12
# Tb2Er2Th3, relaxed, DFT PBE
# V   34.058 Å³/atom
# Fermi-level density of states   9.8 states/eV/cell
# Formation enthalpy at 0 K   0.23 eV/atom
# Calculated density   9.4 Mg/m³
data_Tb2Er2Th3
_chemical_formula_sum 'Tb2 Er2 Th3'
_symmetry_space_group_name_H-M 'P 1'
_symmetry_Int_Tables_number 1
_cell_length_a 3.577
_cell_length_b 11.874
_cell_length_c 7.412
_cell_angle_alpha 127.37
_cell_angle_beta 103.96
_cell_angle_gamma 90.00
loop_
_symmetry_equiv_pos_as_xyz
'x,y,z'
loop_
_atom_site_label
_atom_site_type_symbol
_atom_site_fract_x
_atom_site_fract_y
_atom_site_fract_z
Th1 Th 0.769 0.267 0.538
Th2 Th 0.231 0.733 0.462
Th3 Th 0.000 0.000 0.000
Tb1 Tb 0.878 0.633 0.755
Tb2 Tb 0.122 0.367 0.245
Er1 Er 0.631 0.891 0.261
Er2 Er 0.369 0.109 0.739


No. 13
# Zn4Ag3F12, relaxed, DFT PBE
# V   13.640 Å³/atom
# Fermi-level density of states   10.9 states/eV/cell
# Calculated density   5.2 Mg/m³
# Energy   -3.735 eV per atom
data_Zn4Ag3F12
_chemical_formula_sum 'Zn4 Ag3 F12'
_symmetry_space_group_name_H-M 'P 1'
_symmetry_Int_Tables_number 1
_cell_length_a 6.957
_cell_length_b 6.957
_cell_length_c 6.957
_cell_angle_alpha 109.47
_cell_angle_beta 109.47
_cell_angle_gamma 109.47
loop_
_symmetry_equiv_pos_as_xyz
'x,y,z'
loop_
_atom_site_label
_atom_site_type_symbol
_atom_site_fract_x
_atom_site_fract_y
_atom_site_fract_z
F1 F 0.208 0.702 0.910
F2 F 0.208 0.298 0.505
F3 F 0.792 0.298 0.090
F4 F 0.298 0.505 0.208
F5 F 0.702 0.910 0.208
F6 F 0.702 0.495 0.792
F7 F 0.298 0.090 0.792
F8 F 0.792 0.702 0.495
F9 F 0.090 0.792 0.298
F10 F 0.505 0.208 0.298
F11 F 0.495 0.792 0.702
F12 F 0.910 0.208 0.702
Ag1 Ag 0.500 0.500 0.000
Ag2 Ag 0.000 0.500 0.500
Ag3 Ag 0.500 0.000 0.500
Zn1 Zn 0.000 0.500 0.000
Zn2 Zn 0.500 0.000 0.000
Zn3 Zn 0.000 0.000 0.500
Zn4 Zn 0.500 0.500 0.500


No. 14
# Ni2SnAu2, relaxed, DFT PBE
# V   17.616 Å³/atom
# Fermi-level density of states   4.2 states/eV/cell
# Formation enthalpy at 0 K   0.18 eV/atom
# Calculated density   11.9 Mg/m³
data_Ni2SnAu2
_chemical_formula_sum 'Ni2 Sn1 Au2'
_symmetry_space_group_name_H-M 'P 1'
_symmetry_Int_Tables_number 1
_cell_length_a 3.620
_cell_length_b 3.620
_cell_length_c 7.192
_cell_angle_alpha 75.42
_cell_angle_beta 75.42
_cell_angle_gamma 90.00
loop_
_symmetry_equiv_pos_as_xyz
'x,y,z'
loop_
_atom_site_label
_atom_site_type_symbol
_atom_site_fract_x
_atom_site_fract_y
_atom_site_fract_z
Ni1 Ni 0.250 0.750 0.500
Ni2 Ni 0.750 0.250 0.500
Au1 Au 0.610 0.610 0.779
Au2 Au 0.390 0.390 0.221
Sn1 Sn 0.000 0.000 0.000


No. 15
# TeRh3C, relaxed, DFT PBE
# V   14.754 Å³/atom
# Fermi-level density of states   7.5 states/eV/cell
# Calculated density   10.1 Mg/m³
# Energy   -6.630 eV per atom
data_TeRh3C
_chemical_formula_sum 'Te1 Rh3 C1'
_symmetry_space_group_name_H-M 'P 1'
_symmetry_Int_Tables_number 1
_cell_length_a 4.194
_cell_length_b 4.194
_cell_length_c 4.194
_cell_angle_alpha 90.00
_cell_angle_beta 90.00
_cell_angle_gamma 90.00
loop_
_symmetry_equiv_pos_as_xyz
'x,y,z'
loop_
_atom_site_label
_atom_site_type_symbol
_atom_site_fract_x
_atom_site_fract_y
_atom_site_fract_z
Rh1 Rh 0.000 0.000 0.500
Rh2 Rh 0.000 0.500 0.000
Rh3 Rh 0.500 0.000 0.000
Te1 Te 0.500 0.500 0.500
C1 C 0.000 0.000 0.000


No. 16
# TaAlOs2, relaxed, DFT PBE
# V   15.526 Å³/atom
# Fermi-level density of states   4.3 states/eV/cell
# Formation enthalpy at 0 K   0.03 eV/atom
# Calculated density   15.7 Mg/m³
data_TaAlOs2
_chemical_formula_sum 'Ta1 Al1 Os2'
_symmetry_space_group_name_H-M 'P 1'
_symmetry_Int_Tables_number 1
_cell_length_a 9.197
_cell_length_b 9.197
_cell_length_c 9.197
_cell_angle_alpha 17.60
_cell_angle_beta 17.60
_cell_angle_gamma 17.60
loop_
_symmetry_equiv_pos_as_xyz
'x,y,z'
loop_
_atom_site_label
_atom_site_type_symbol
_atom_site_fract_x
_atom_site_fract_y
_atom_site_fract_z
Al1 Al 0.745 0.745 0.745
Os1 Os 0.255 0.255 0.255
Os2 Os 0.999 0.999 0.999
Ta1 Ta 0.501 0.501 0.501


No. 17
# HoVH3, relaxed, DFT PBE
# V   9.332 Å³/atom
# Fermi-level density of states   2.6 states/eV/cell
# Calculated density   7.8 Mg/m³
# Energy   -5.073 eV per atom
data_HoVH3
_chemical_formula_sum 'Ho1 V1 H3'
_symmetry_space_group_name_H-M 'P 1'
_symmetry_Int_Tables_number 1
_cell_length_a 3.600
_cell_length_b 3.600
_cell_length_c 3.600
_cell_angle_alpha 90.00
_cell_angle_beta 90.00
_cell_angle_gamma 90.00
loop_
_symmetry_equiv_pos_as_xyz
'x,y,z'
loop_
_atom_site_label
_atom_site_type_symbol
_atom_site_fract_x
_atom_site_fract_y
_atom_site_fract_z
H1 H 0.000 0.500 0.000
H2 H 0.000 0.000 0.500
H3 H 0.500 0.000 0.000
V1 V 0.000 0.000 0.000
Ho1 Ho 0.500 0.500 0.500


No. 18
# TbYAlAu, relaxed, DFT PBE
# V   24.122 Å³/atom
# Fermi-level density of states   2.9 states/eV/cell
# Formation enthalpy at 0 K   -0.57 eV/atom
# Calculated density   8.1 Mg/m³
data_TbYAlAu
_chemical_formula_sum 'Tb1 Y1 Al1 Au1'
_symmetry_space_group_name_H-M 'P 1'
_symmetry_Int_Tables_number 1
_cell_length_a 5.148
_cell_length_b 5.148
_cell_length_c 5.148
_cell_angle_alpha 60.00
_cell_angle_beta 60.00
_cell_angle_gamma 60.00
loop_
_symmetry_equiv_pos_as_xyz
'x,y,z'
loop_
_atom_site_label
_atom_site_type_symbol
_atom_site_fract_x
_atom_site_fract_y
_atom_site_fract_z
Al1 Al 0.500 0.500 0.500
Y1 Y 0.750 0.750 0.750
Tb1 Tb 0.250 0.250 0.250
Au1 Au 0.000 0.000 0.000


No. 19
# Ac2LaSm, relaxed, DFT PBE
# V   40.413 Å³/atom
# Fermi-level density of states   11.2 states/eV/cell
# Formation enthalpy at 0 K   0.13 eV/atom
# Calculated density   7.6 Mg/m³
data_Ac2LaSm
_chemical_formula_sum 'Ac2 La1 Sm1'
_symmetry_space_group_name_H-M 'P 1'
_symmetry_Int_Tables_number 1
_cell_length_a 6.115
_cell_length_b 6.115
_cell_length_c 6.115
_cell_angle_alpha 60.00
_cell_angle_beta 60.00
_cell_angle_gamma 60.00
loop_
_symmetry_equiv_pos_as_xyz
'x,y,z'
loop_
_atom_site_label
_atom_site_type_symbol
_atom_site_fract_x
_atom_site_fract_y
_atom_site_fract_z
Sm1 Sm 0.000 0.000 0.000
Ac1 Ac 0.750 0.750 0.750
Ac2 Ac 0.250 0.250 0.250
La1 La 0.500 0.500 0.500


No. 20
# Ce4SbRh2, relaxed, DFT PBE
# V   25.572 Å³/atom
# Fermi-level density of states   35.5 states/eV/cell
# Calculated density   8.2 Mg/m³
# Energy   -6.731 eV per atom
data_Ce4SbRh2
_chemical_formula_sum 'Ce8 Sb2 Rh4'
_symmetry_space_group_name_H-M 'P 1'
_symmetry_Int_Tables_number 1
_cell_length_a 7.740
_cell_length_b 7.740
_cell_length_c 7.785
_cell_angle_alpha 107.05
_cell_angle_beta 107.04
_cell_angle_gamma 114.23
loop_
_symmetry_equiv_pos_as_xyz
'x,y,z'
loop_
_atom_site_label
_atom_site_type_symbol
_atom_site_fract_x
_atom_site_fract_y
_atom_site_fract_z
Ce1 Ce 0.400 0.152 0.395
Ce2 Ce 0.402 0.150 0.895
Ce3 Ce 0.846 0.244 0.247
Ce4 Ce 0.494 0.596 0.747
Ce5 Ce 0.997 0.599 0.753
Ce6 Ce 0.757 0.005 0.605
Ce7 Ce 0.255 0.507 0.105
Ce8 Ce 0.849 0.747 0.253
Rh1 Rh 0.625 0.505 0.380
Rh2 Rh 0.125 0.245 0.620
Rh3 Rh 0.496 0.875 0.120
Rh4 Rh 0.755 0.376 0.880
Sb1 Sb 0.000 0.000 0.000
Sb2 Sb 0.250 0.750 0.500